# 1
Cs2CdBr4 after structural relaxation. Source: OQMD, functional GGA-PBE.

Calculated values
* DFT total energy: -77.30 eV per cell

Cell: 10.268 8.321 14.303 Å, 87.76 90.00 90.00°
Sites, in units of the cell vectors:
Cs1 0.491 0.213 0.816
Br1 0.809 0.040 0.213
Br2 0.662 0.684 0.421
Cs2 0.382 0.759 0.600
Br3 0.309 0.460 0.287
Br4 0.530 0.794 0.926
Cd1 0.723 0.244 0.080
Cs3 0.509 0.787 0.184
Cs4 0.009 0.713 0.316
Cd2 0.223 0.256 0.420
Br5 0.804 0.529 0.129
Br6 0.304 0.971 0.371
Cs5 0.618 0.241 0.400
Br7 0.162 0.816 0.079
Cd3 0.777 0.744 0.580
Cs6 0.882 0.741 0.900
Cs7 0.991 0.287 0.684
Cs8 0.118 0.259 0.100
Br8 0.196 0.471 0.871
Br9 0.191 0.960 0.787
Br10 0.338 0.316 0.579
Br11 0.970 0.294 0.426
Br12 0.696 0.029 0.629
Br13 0.470 0.206 0.074
Cd4 0.277 0.756 0.920
Br14 0.838 0.184 0.921
Br15 0.030 0.706 0.574
Br16 0.691 0.540 0.713



# 2
LuMgPd2 after structural relaxation. Source: OQMD, functional GGA-PBE.

Calculated values
* DFT total energy: -39.61 eV per cell

Cell: 4.480 4.480 8.768 Å, 90.00 90.00 120.00°
Sites, in units of the cell vectors:
Pd1 0.667 0.333 0.412
Pd2 0.667 0.333 0.088
Lu1 0.667 0.333 0.750
Mg1 0.000 0.000 0.000
Lu2 0.333 0.667 0.250
Pd3 0.333 0.667 0.912
Pd4 0.333 0.667 0.588
Mg2 0.000 0.000 0.500



# 3
RbAlFe after structural relaxation. Source: OQMD, functional GGA-PBE.

Calculated values
* distance to the lowest polymorph of the same formula: 0 meV/atom

Cell: 4.975 4.975 4.975 Å, 60.00 60.00 60.00°
Sites, in units of the cell vectors:
Al1 0.250 0.250 0.250
Fe1 0.000 0.000 0.000
Rb1 0.750 0.750 0.750



# 4
SrSmPO after structural relaxation. Source: OQMD, functional GGA-PBE.

Calculated values
* distance to the lowest polymorph of the same formula: 305 meV/atom

Cell: 4.396 4.396 9.267 Å, 90.00 90.00 90.00°
Sites, in units of the cell vectors:
P1 0.250 0.250 0.709
Sr1 0.750 0.250 0.500
P2 0.750 0.750 0.291
O1 0.250 0.750 0.000
Sm1 0.250 0.250 0.097
Sr2 0.250 0.750 0.500
Sm2 0.750 0.750 0.903
O2 0.750 0.250 0.000